# 1
Compound: Ho2NpGeN5
Source: Alexandria
Functional: PBE-GGA
Structure: relaxed

Final energy: -8.61 eV/atom

Cell: 7.176 7.176 10.152 Å, 90.00 90.00 153.32°
Atoms (fractional coordinates):
Ho 0.112 0.888 0.500
Ho 0.128 0.872 0.090
Ho 0.872 0.128 0.590
Ho 0.888 0.112 0.000
Np 0.214 0.786 0.805
Np 0.786 0.214 0.305
Ge 0.494 0.506 0.272
Ge 0.506 0.494 0.772
N 0.050 0.950 0.852
N 0.287 0.713 0.449
N 0.301 0.699 0.165
N 0.373 0.627 0.813
N 0.498 0.502 0.589
N 0.502 0.498 0.089
N 0.627 0.373 0.313
N 0.699 0.301 0.665
N 0.713 0.287 0.949
N 0.950 0.050 0.352

=====

# 2
Compound: HoCoSi3Rh
Source: Alexandria
Functional: PBE-GGA
Structure: relaxed

Final energy: -6.38 eV/atom

Cell: 7.020 7.020 5.524 Å, 90.00 90.00 128.85°
Atoms (fractional coordinates):
Ho 0.197 0.803 0.750
Ho 0.803 0.197 0.250
Co 0.039 0.961 0.250
Co 0.961 0.039 0.750
Si 0.207 0.793 0.250
Si 0.287 0.287 0.000
Si 0.287 0.287 0.500
Si 0.713 0.713 0.000
Si 0.713 0.713 0.500
Si 0.793 0.207 0.750
Rh 0.383 0.617 0.250
Rh 0.617 0.383 0.750

=====

# 3
Compound: LaOsN2F
Source: Alexandria
Functional: PBE-GGA
Structure: relaxed

Final energy: -7.72 eV/atom
Energy above the lowest structure with this stoichiometry: 0 meV per atom

Cell: 3.890 3.890 4.572 Å, 90.00 90.00 90.00°
Atoms (fractional coordinates):
La 0.000 0.000 0.000
Os 0.500 0.500 0.500
N 0.000 0.500 0.500
N 0.500 0.000 0.500
F 0.500 0.500 0.000

=====

# 4
Compound: AsRhBr3
Source: Alexandria
Functional: PBE-GGA
Structure: relaxed

Final energy: -2.78 eV/atom
Energy above the lowest structure with this stoichiometry: 240 meV per atom

Cell: 5.310 5.310 5.310 Å, 90.00 90.00 90.00°
Atoms (fractional coordinates):
As 0.000 0.000 0.000
Rh 0.500 0.500 0.500
Br 0.000 0.000 0.500
Br 0.000 0.500 0.000
Br 0.500 0.000 0.000

=====

| no. | formation energy without anion corrections (kJ/mol of formula units) |
| --- | --- |
| 1 | -881 |
| 2 | -285 |
| 3 | -376 |
| 4 | 302 |